Computed, not measured: a geometry-optimized BaInTc2 structure at the GGA-PBE level of DFT.

Calculated values
**Energy relative to the elements**: 0.609 eV per atom
**Crystal system**: orthorhombic

Cell lengths 3.202, 4.308, 7.068 Å; angles 90.00, 90.00, 90.00 degrees
Space group Pmmm (No. 47)
Symmetry-distinct sites (fractional):
Ba1 0.000 0.000 0.000
In1 0.000 0.000 0.500
Tc1 0.500 0.500 0.344